Record 1
Compound: Ba2YTe
Source: the Alexandria database
Functional: PBE-GGA
Structure: relaxed

The crystal system is tetragonal. For the uncorrected formation energy, the calculation gives -0.32 eV/atom. Its spin magnetization is 0.00 Bohr magnetons per cell.

abc: 10.1085 10.1085 6.6641
angles: 90.00 90.00 90.00
With the nearest neighbours (Å) after each atom.
Space group I-42d (No. 122)
Unique sites:
Ba (0.2019, 0.2500, 0.1250) (multiplicity 8)  2 Te 3.35, 2 Ba 3.47
Y (0.0000, 0.0000, 0.5000) (multiplicity 4)  2 Te 3.33
Te (0.0000, 0.0000, 0.0000) (multiplicity 4)  2 Y 3.33, 4 Ba 3.35



Record 2
Compound: CsTl2HgIr
Source: the Alexandria database
Functional: PBE-GGA
Structure: relaxed

The crystal system is tetragonal. The calculation puts the formation energy at -0.3 eV/f.u. Its spin magnetization is 0.00 Bohr magnetons per cell.

abc: 5.3569 5.3569 5.5327
angles: 90.00 90.00 90.00
With the nearest neighbours (Å) after each atom.
Space group P4/mmm (No. 123)
Unique sites:
Cs (0.0000, 0.0000, 0.0000) (multiplicity 1)  4 Hg 3.79, 8 Tl 3.85
Tl (0.0000, 0.5000, 0.5000) (multiplicity 2)  2 Ir 2.68
Hg (0.5000, 0.5000, 0.0000) (multiplicity 1)  2 Ir 2.77
Ir (0.5000, 0.5000, 0.5000) (multiplicity 1)  4 Tl 2.68, 2 Hg 2.77



Record 3
Compound: Al2ZnGa2
Source: the Alexandria database
Functional: PBE-GGA
Structure: relaxed

The crystal system is tetragonal. The calculation puts the formation energy at 0.6 eV/f.u. The calculation puts the polymorph energy (0 for the lowest one) at 31.5 meV per atom. Its spin magnetization is 0.00 Bohr magnetons per cell.

abc: 8.0421 8.0421 2.8004
angles: 90.00 90.00 90.00
With the nearest neighbours (Å) after each atom.
Space group P4/mbm (No. 127)
Unique sites:
Al (0.1353, 0.3647, 0.0000) (multiplicity 4)  6 Ga 2.70-2.77, 2 Al 2.80
Zn (0.0000, 0.0000, 0.5000) (multiplicity 2)  2 Zn 2.80, 4 Ga 3.02
Ga (0.1614, 0.6614, 0.5000) (multiplicity 4)  6 Al 2.70-2.77, 2 Ga 2.80, 2 Zn 3.02



Record 4
Compound: AsC2
Source: the Alexandria database
Functional: PBE-GGA
Structure: relaxed

The crystal system is triclinic. The calculation puts the formation energy at 1.2 eV/f.u. The calculation puts the polymorph energy (0 for the lowest one) at 57.5 meV per atom. Its spin magnetization is 0.00 Bohr magnetons per cell.

abc: 2.5373 2.5439 9.0698
angles: 88.02 87.62 60.09
With the nearest neighbours (Å) after each atom.
Space group P1 (No. 1)
Unique sites:
As (0.0000, 0.0000, 0.0000) (multiplicity 1)  6 As 2.54
C (0.4240, 0.3478, 0.4995) (multiplicity 1)  3 C 1.47
C (0.7573, 0.6812, 0.4995) (multiplicity 1)  3 C 1.47



Record 5
Compound: VAs
Source: the Alexandria database
Functional: PBE-GGA
Structure: relaxed

The crystal system is monoclinic. The calculation puts the formation energy at -0.4 eV/f.u. Its spin magnetization is 0.00 Bohr magnetons per cell.

abc: 3.2226 4.5653 4.6782
angles: 90.00 107.28 90.00
With the nearest neighbours (Å) after each atom.
Space group P2_1/m (No. 11)
Unique sites:
V (0.1420, 0.2500, 0.4052) (multiplicity 2)  5 As 2.44-2.61, 2 V 2.70
As (0.1916, 0.7500, 0.1762) (multiplicity 2)  5 V 2.44-2.61



Record 6
Compound: LiAg2Os
Source: the Alexandria database
Functional: PBE-GGA
Structure: relaxed

The crystal system is cubic. The calculation puts the formation energy at 2.6 eV/f.u. The calculation puts the polymorph energy (0 for the lowest one) at 360.0 meV per atom. Its spin magnetization is 7.12 Bohr magnetons per cell.

abc: 6.3723 6.3723 6.3723
angles: 90.00 90.00 90.00
With the nearest neighbours (Å) after each atom.
Space group Fm-3m (No. 225)
Unique sites:
Li (0.0000, 0.0000, 0.0000) (multiplicity 4)  8 Ag 2.76
Ag (0.2500, 0.2500, 0.2500) (multiplicity 8)  4 Li 2.76, 4 Os 2.76
Os (0.0000, 0.0000, 0.5000) (multiplicity 4)  8 Ag 2.76



Record 7
Compound: KCa2Pb2
Source: the Alexandria database
Functional: PBE-GGA
Structure: relaxed

The crystal system is tetragonal. The calculation puts the formation energy at -1.7 eV/f.u. The calculation puts the polymorph energy (0 for the lowest one) at 51.0 meV per atom. Its spin magnetization is 0.00 Bohr magnetons per cell.

abc: 9.3586 9.3586 4.0101
angles: 90.00 90.00 90.00
With the nearest neighbours (Å) after each atom.
Space group P4/mbm (No. 127)
Unique sites:
K (0.0000, 0.0000, 0.0000) (multiplicity 2)  4 Pb 3.68, 2 K 4.01, 8 Ca 4.04
Ca (0.1618, 0.3382, 0.5000) (multiplicity 4)  6 Pb 3.39-3.43
Pb (0.1282, 0.6282, 0.0000) (multiplicity 4)  6 Ca 3.39-3.43, 1 Pb 3.39, 2 K 3.68



Record 8
Compound: CeSc3S4
Source: the Alexandria database
Functional: PBE-GGA
Structure: relaxed

The crystal system is trigonal. For the uncorrected formation energy, the calculation gives -1.91 eV/atom. Its spin magnetization is 1.04 Bohr magnetons per cell.

abc: 3.7437 3.7437 37.5053
angles: 90.00 90.00 120.00
With the nearest neighbours (Å) after each atom.
Space group R-3m (No. 166, hexagonal axes)
Unique sites:
Ce (0.0000, 0.0000, 0.0000) (multiplicity 3)  6 S 2.82
Sc (0.0000, 0.0000, 0.2473) (multiplicity 6)  6 S 2.58-2.65
Sc (0.0000, 0.0000, 0.5000) (multiplicity 3)  6 S 2.62
S (0.0000, 0.0000, 0.1271) (multiplicity 6)  6 Sc 2.62-2.65
S (0.0000, 0.0000, 0.3818) (multiplicity 6)  3 Sc 2.58, 3 Ce 2.82



Record 9
Compound: PuAlZnHg
Source: the Alexandria database
Functional: PBE-GGA
Structure: relaxed

The crystal system is cubic. The calculation puts the formation energy at -0.4 eV/f.u. Its spin magnetization is 21.85 Bohr magnetons per cell.

abc: 6.9691 6.9691 6.9691
angles: 90.00 90.00 90.00
With the nearest neighbours (Å) after each atom.
Space group F-43m (No. 216)
Unique sites:
Pu (0.0000, 0.0000, 0.0000) (multiplicity 4)  4 Hg 3.02, 4 Zn 3.02
Al (0.0000, 0.0000, 0.5000) (multiplicity 4)  4 Hg 3.02, 4 Zn 3.02
Zn (0.2500, 0.2500, 0.7500) (multiplicity 4)  4 Al 3.02, 4 Pu 3.02
Hg (0.2500, 0.2500, 0.2500) (multiplicity 4)  4 Al 3.02, 4 Pu 3.02



Record 10
Compound: Th2ScTl9
Source: the Alexandria database
Functional: PBE-GGA
Structure: relaxed

The crystal system is tetragonal. The calculation puts the formation energy at -1.5 eV/f.u. Its spin magnetization is 0.00 Bohr magnetons per cell.

abc: 4.8109 4.8109 14.1155
angles: 90.00 90.00 90.00
With the nearest neighbours (Å) after each atom.
Space group P4/mmm (No. 123)
Unique sites:
Th (0.0000, 0.0000, 0.1713) (multiplicity 2)  12 Tl 3.40-3.42
Sc (0.0000, 0.0000, 0.5000) (multiplicity 1)  12 Tl 3.27-3.40
Tl (0.0000, 0.5000, 0.0000) (multiplicity 2)  8 Tl 3.40, 4 Th 3.41
Tl (0.0000, 0.5000, 0.3433) (multiplicity 4)  8 Tl 3.27-3.43, 2 Sc 3.27, 2 Th 3.42
Tl (0.5000, 0.5000, 0.1702) (multiplicity 2)  8 Tl 3.40-3.43, 4 Th 3.40
Tl (0.5000, 0.5000, 0.5000) (multiplicity 1)  8 Tl 3.27, 4 Sc 3.40



Record 11
Compound: Ce4InHg3
Source: the Alexandria database
Functional: PBE-GGA
Structure: relaxed

The crystal system is monoclinic. The calculation puts the formation energy at -1.5 eV/f.u. Its spin magnetization is 5.14 Bohr magnetons per cell.

abc: 19.2977 4.7387 4.6251
angles: 90.00 97.80 90.00
With the nearest neighbours (Å) after each atom.
Space group C2/m (No. 12)
Unique sites:
Ce (0.1228, 0.0000, 0.0737) (multiplicity 4)  1 Ce 2.74
Ce (0.2386, 0.0000, 0.7914) (multiplicity 4)  3 Ce 2.74-3.05
In (0.0000, 0.0000, 0.5000) (multiplicity 2)  4 Ce 3.28-3.31, 8 Hg 3.31-3.40
Hg (0.0000, 0.5000, 0.0000) (multiplicity 2)  4 In 3.31, 4 Ce 3.34, 4 Hg 3.35-3.37
Hg (0.1275, 0.5000, 0.5761) (multiplicity 4)  8 Ce 3.26-3.63, 2 Hg 3.35-3.37, 2 In 3.40



Record 12
Compound: MnVPd14
Source: the Alexandria database
Functional: PBE-GGA
Structure: relaxed

The crystal system is tetragonal. The calculation puts the formation energy at -2.1 eV/f.u. Its spin magnetization is 4.22 Bohr magnetons per cell.

abc: 5.5711 5.5711 7.8051
angles: 90.00 90.00 90.00
With the nearest neighbours (Å) after each atom.
Space group P4/mmm (No. 123)
Unique sites:
Mn (0.0000, 0.0000, 0.0000) (multiplicity 1)  12 Pd 2.74-2.79
V (0.5000, 0.5000, 0.0000) (multiplicity 1)  12 Pd 2.72-2.79
Pd (0.0000, 0.0000, 0.5000) (multiplicity 1)  12 Pd 2.79-2.83
Pd (0.0000, 0.5000, 0.0000) (multiplicity 2)  8 Pd 2.73, 2 V 2.79, 2 Mn 2.79
Pd (0.0000, 0.5000, 0.5000) (multiplicity 2)  12 Pd 2.79-2.82
Pd (0.2520, 0.2520, 0.2420) (multiplicity 8)  1 V 2.72, 10 Pd 2.73-2.83, 1 Mn 2.74
Pd (0.5000, 0.5000, 0.5000) (multiplicity 1)  12 Pd 2.79-2.81